*i*
Material: LiTaCl
Method: DFT, PBE
State: relaxed

It has space group P-6m2 (No. 187), with a = 4.3536 Å, b = 4.3536 Å, c = 3.0019 Å, α = 90.00°, β = 90.00° and γ = 120.00°. The distinct sites, in fractional coordinates, are Li at (0.0000, 0.0000, 0.0000), Ta at (0.6667, 0.3333, 0.5000) and Cl at (0.3333, 0.6667, 0.5000).

The density of states at the Fermi level is 0.7101 states/eV per atom.

*ii*
Material: LiTaCl
Method: DFT, PBE
State: relaxed

It has space group I4mm (No. 107), with a = 2.956 Å, b = 2.956 Å, c = 12.901 Å, α = 90.00°, β = 90.00° and γ = 90.00°. The distinct sites, in fractional coordinates, are Li at (0.000, 0.000, 0.000), Ta at (0.000, 0.000, 0.331) and Cl at (0.000, 0.000, 0.703).

The density of states at the Fermi level is 0.9308 states/eV per atom.

*iii*
Material: LiTaCl
Method: DFT, PBE
State: relaxed

It has space group F-43m (No. 216), with a = 5.996 Å, b = 5.996 Å, c = 5.996 Å, α = 90.00°, β = 90.00° and γ = 90.00°. The distinct sites, in fractional coordinates, are Li at (0.000, 0.000, 0.000), Ta at (0.250, 0.250, 0.750) and Cl at (0.000, 0.000, 0.500).

The density of states at the Fermi level is 1.1269 states/eV per atom.

*iv*
Material: LiTaCl
Method: DFT, PBE
State: relaxed

It has space group F-43m (No. 216), with a = 5.787 Å, b = 5.787 Å, c = 5.787 Å, α = 90.00°, β = 90.00° and γ = 90.00°. The distinct sites, in fractional coordinates, are Li at (0.000, 0.000, 0.000), Ta at (0.000, 0.000, 0.500) and Cl at (0.250, 0.250, 0.750).

The density of states at the Fermi level is 1.1894 states/eV per atom.

Energetically preferred structure: *ii* | next structure: +289 meV/atom

*i*
Material: LiTaCl6
Method: DFT, PBE
State: relaxed

It has space group R-3 (No. 148, hexagonal axes), with a = 6.4547 Å, b = 6.4547 Å, c = 17.1946 Å, α = 90.00°, β = 90.00° and γ = 120.00°. The distinct sites, in fractional coordinates, are Li at (0.0000, 0.0000, 0.0000), Ta at (0.0000, 0.0000, 0.5000) and Cl at (0.0196, 0.3098, 0.5794).

The density of states at the Fermi level is 0.0000 states/eV per atom.

*ii*
Material: LiTaCl6
Method: DFT, PBE
State: relaxed

It has space group C2/m (No. 12), with a = 7.923 Å, b = 11.333 Å, c = 6.283 Å, α = 90.00°, β = 103.20° and γ = 90.00°. The distinct sites, in fractional coordinates, are Li at (0.000, 0.000, 0.000), Ta at (0.000, 0.000, 0.500), Cl at (0.124, 0.146, 0.759) and Cl at (0.248, 0.000, 0.348).

The density of states at the Fermi level is 0.0000 states/eV per atom.

Energetically preferred structure: *ii* | next structure: +23 meV/atom

*i*
Material: LiTaCl3
Method: DFT, PBE
State: relaxed

It has space group Pm-3m (No. 221), with a = 4.919 Å, b = 4.919 Å, c = 4.919 Å, α = 90.00°, β = 90.00° and γ = 90.00°. The distinct sites, in fractional coordinates, are Li at (0.000, 0.000, 0.000), Ta at (0.500, 0.500, 0.500) and Cl at (0.000, 0.500, 0.500).

The density of states at the Fermi level is 0.8055 states/eV per atom.

*ii*
Material: LiTaCl3
Method: DFT, PBE
State: relaxed

It has space group Pm-3m (No. 221), with a = 4.564 Å, b = 4.564 Å, c = 4.564 Å, α = 90.00°, β = 90.00° and γ = 90.00°. The distinct sites, in fractional coordinates, are Li at (0.000, 0.000, 0.000), Ta at (0.500, 0.500, 0.500) and Cl at (0.000, 0.000, 0.500).

The density of states at the Fermi level is 0.5490 states/eV per atom.

Energetically preferred structure: *i* | next structure: +477 meV/atom

*i*
Material: Li3TaCl
Method: DFT, PBE
State: relaxed

It has space group Pm-3m (No. 221), with a = 4.667 Å, b = 4.667 Å, c = 4.667 Å, α = 90.00°, β = 90.00° and γ = 90.00°. The distinct sites, in fractional coordinates, are Li at (0.000, 0.000, 0.500), Ta at (0.500, 0.500, 0.500) and Cl at (0.000, 0.000, 0.000).

The density of states at the Fermi level is 0.0530 states/eV per atom.

*ii*
Material: Li3TaCl
Method: DFT, PBE
State: relaxed

It has space group Pm-3m (No. 221), with a = 5.376 Å, b = 5.376 Å, c = 5.376 Å, α = 90.00°, β = 90.00° and γ = 90.00°. The distinct sites, in fractional coordinates, are Li at (0.000, 0.000, 0.500), Ta at (0.000, 0.000, 0.000) and Cl at (0.500, 0.500, 0.500).

The density of states at the Fermi level is 0.1864 states/eV per atom.

Energetically preferred structure: *i* | next structure: +689 meV/atom

*i*
Material: LiTbCl4
Method: DFT, PBE
State: relaxed

It has space group P2/m (No. 10), with a = 6.597 Å, b = 3.966 Å, c = 6.726 Å, α = 90.00°, β = 96.00° and γ = 90.00°. The distinct sites, in fractional coordinates, are Li at (0.000, 0.000, 0.000), Tb at (0.000, 0.500, 0.500), Cl at (0.201, 0.500, 0.184) and Cl at (0.228, 0.000, 0.679).

The density of states at the Fermi level is 0.0000 states/eV per atom.

*ii*
Material: LiTbCl4
Method: DFT, PBE
State: relaxed

It has space group C2/c (No. 15), with a = 8.280 Å, b = 16.841 Å, c = 6.354 Å, α = 90.00°, β = 129.37° and γ = 90.00°. The distinct sites, in fractional coordinates, are Li at (0.000, 0.132, 0.250), Tb at (0.000, 0.331, 0.750), Cl at (0.205, 0.203, 0.719) and Cl at (0.227, 0.425, 0.721).

The density of states at the Fermi level is 0.0000 states/eV per atom.

Energetically preferred structure: *i* | next structure: +8 meV/atom

*i*
Material: LiTc3Cl
Method: DFT, PBE
State: relaxed

It has space group Pm-3m (No. 221), with a = 4.238 Å, b = 4.238 Å, c = 4.238 Å, α = 90.00°, β = 90.00° and γ = 90.00°. The distinct sites, in fractional coordinates, are Li at (0.000, 0.000, 0.000), Tc at (0.000, 0.000, 0.500) and Cl at (0.500, 0.500, 0.500).

The density of states at the Fermi level is 1.4462 states/eV per atom.

*ii*
Material: LiTc3Cl
Method: DFT, PBE
State: relaxed

It has space group Pm-3m (No. 221), with a = 4.361 Å, b = 4.361 Å, c = 4.361 Å, α = 90.00°, β = 90.00° and γ = 90.00°. The distinct sites, in fractional coordinates, are Li at (0.000, 0.000, 0.000), Tc at (0.000, 0.500, 0.500) and Cl at (0.500, 0.500, 0.500).

The density of states at the Fermi level is 1.0220 states/eV per atom.

Energetically preferred structure: *ii* | next structure: +791 meV/atom

*i*
Material: LiTcCl
Method: DFT, PBE
State: relaxed

It has space group P3m1 (No. 156), with a = 2.9480 Å, b = 2.9480 Å, c = 6.0219 Å, α = 90.00°, β = 90.00° and γ = 120.00°. The distinct sites, in fractional coordinates, are Li at (0.0000, 0.0000, 0.0000), Tc at (0.3333, 0.6667, 0.3706) and Cl at (0.6667, 0.3333, 0.6829).

The density of states at the Fermi level is 0.6091 states/eV per atom.

*ii*
Material: LiTcCl
Method: DFT, PBE
State: relaxed

It has space group P-6m2 (No. 187), with a = 4.2663 Å, b = 4.2663 Å, c = 2.8034 Å, α = 90.00°, β = 90.00° and γ = 120.00°. The distinct sites, in fractional coordinates, are Li at (0.0000, 0.0000, 0.0000), Tc at (0.6667, 0.3333, 0.5000) and Cl at (0.3333, 0.6667, 0.5000).

The density of states at the Fermi level is 0.9333 states/eV per atom.

*iii*
Material: LiTcCl
Method: DFT, PBE
State: relaxed

It has space group I4mm (No. 107), with a = 2.824 Å, b = 2.824 Å, c = 11.418 Å, α = 90.00°, β = 90.00° and γ = 90.00°. The distinct sites, in fractional coordinates, are Li at (0.000, 0.000, 0.000), Tc at (0.000, 0.000, 0.686) and Cl at (0.000, 0.000, 0.351).

The density of states at the Fermi level is 0.8866 states/eV per atom.

*iv*
Material: LiTcCl
Method: DFT, PBE
State: relaxed

It has space group Fmm2 (No. 42), with a = 2.946 Å, b = 5.171 Å, c = 12.453 Å, α = 90.00°, β = 90.00° and γ = 90.00°. The distinct sites, in fractional coordinates, are Li at (0.000, 0.000, 0.000), Tc at (0.000, 0.000, 0.688) and Cl at (0.000, 0.000, 0.349).

The density of states at the Fermi level is 0.5129 states/eV per atom.

Energetically preferred structure: *i* | next structure: +77 meV/atom

*i*
Material: LiTcCl
Method: DFT, PBE
State: relaxed

It has space group F-43m (No. 216), with a = 6.139 Å, b = 6.139 Å, c = 6.139 Å, α = 90.00°, β = 90.00° and γ = 90.00°. The distinct sites, in fractional coordinates, are Li at (0.000, 0.000, 0.000), Tc at (0.250, 0.250, 0.750) and Cl at (0.000, 0.000, 0.500).

The density of states at the Fermi level is 0.9986 states/eV per atom.

*ii*
Material: LiTcCl
Method: DFT, PBE
State: relaxed

It has space group F-43m (No. 216), with a = 6.094 Å, b = 6.094 Å, c = 6.094 Å, α = 90.00°, β = 90.00° and γ = 90.00°. The distinct sites, in fractional coordinates, are Li at (0.000, 0.000, 0.000), Tc at (0.250, 0.250, 0.250) and Cl at (0.250, 0.250, 0.750).

The density of states at the Fermi level is 1.1671 states/eV per atom.

*iii*
Material: LiTcCl
Method: DFT, PBE
State: relaxed

It has space group F-43m (No. 216), with a = 5.679 Å, b = 5.679 Å, c = 5.679 Å, α = 90.00°, β = 90.00° and γ = 90.00°. The distinct sites, in fractional coordinates, are Li at (0.000, 0.000, 0.000), Tc at (0.000, 0.000, 0.500) and Cl at (0.250, 0.250, 0.750).

The density of states at the Fermi level is 0.8469 states/eV per atom.

Energetically preferred structure: *iii* | next structure: +296 meV/atom

*i*
Material: LiTcCl3
Method: DFT, PBE
State: relaxed

It has space group Pm-3m (No. 221), with a = 4.674 Å, b = 4.674 Å, c = 4.674 Å, α = 90.00°, β = 90.00° and γ = 90.00°. The distinct sites, in fractional coordinates, are Li at (0.000, 0.000, 0.000), Tc at (0.500, 0.500, 0.500) and Cl at (0.000, 0.000, 0.500).

The density of states at the Fermi level is 0.0000 states/eV per atom.

*ii*
Material: LiTcCl3
Method: DFT, PBE
State: relaxed

It has space group Pm-3m (No. 221), with a = 4.948 Å, b = 4.948 Å, c = 4.948 Å, α = 90.00°, β = 90.00° and γ = 90.00°. The distinct sites, in fractional coordinates, are Li at (0.000, 0.000, 0.000), Tc at (0.500, 0.500, 0.500) and Cl at (0.000, 0.500, 0.500).

The density of states at the Fermi level is 0.5231 states/eV per atom.

Energetically preferred structure: *ii* | next structure: +289 meV/atom

*i*
Material: LiTeCl
Method: DFT, PBE
State: relaxed

It has space group F-43m (No. 216), with a = 6.711 Å, b = 6.711 Å, c = 6.711 Å, α = 90.00°, β = 90.00° and γ = 90.00°. The distinct sites, in fractional coordinates, are Li at (0.000, 0.000, 0.000), Te at (0.250, 0.250, 0.750) and Cl at (0.250, 0.250, 0.250).

The density of states at the Fermi level is 1.1947 states/eV per atom.

*ii*
Material: LiTeCl
Method: DFT, PBE
State: relaxed

It has space group P3m1 (No. 156), with a = 3.4723 Å, b = 3.4723 Å, c = 7.5774 Å, α = 90.00°, β = 90.00° and γ = 120.00°. The distinct sites, in fractional coordinates, are Li at (0.0000, 0.0000, 0.0000), Te at (0.6667, 0.3333, 0.4138) and Cl at (0.3333, 0.6667, 0.8825).

The density of states at the Fermi level is 0.7199 states/eV per atom.

Energetically preferred structure: *ii* | next structure: +498 meV/atom

*i*
Material: LiTeCl
Method: DFT, PBE
State: relaxed

It has space group I4mm (No. 107), with a = 3.236 Å, b = 3.236 Å, c = 17.590 Å, α = 90.00°, β = 90.00° and γ = 90.00°. The distinct sites, in fractional coordinates, are Li at (0.000, 0.000, 0.000), Te at (0.000, 0.000, 0.776) and Cl at (0.000, 0.000, 0.507).

The density of states at the Fermi level is 0.4078 states/eV per atom.

*ii*
Material: LiTeCl
Method: DFT, PBE
State: relaxed

It has space group F-43m (No. 216), with a = 7.258 Å, b = 7.258 Å, c = 7.258 Å, α = 90.00°, β = 90.00° and γ = 90.00°. The distinct sites, in fractional coordinates, are Li at (0.000, 0.000, 0.000), Te at (0.250, 0.250, 0.750) and Cl at (0.000, 0.000, 0.500).

The density of states at the Fermi level is 0.6141 states/eV per atom.

Energetically preferred structure: *i* | next structure: +896 meV/atom

*i*
Material: Li3TeCl
Method: DFT, PBE
State: relaxed

It has space group Pm-3m (No. 221), with a = 4.636 Å, b = 4.636 Å, c = 4.636 Å, α = 90.00°, β = 90.00° and γ = 90.00°. The distinct sites, in fractional coordinates, are Li at (0.000, 0.000, 0.500), Te at (0.500, 0.500, 0.500) and Cl at (0.000, 0.000, 0.000).

The density of states at the Fermi level is 0.0000 states/eV per atom.

*ii*
Material: Li3TeCl
Method: DFT, PBE
State: relaxed

It has space group Pm-3m (No. 221), with a = 5.185 Å, b = 5.185 Å, c = 5.185 Å, α = 90.00°, β = 90.00° and γ = 90.00°. The distinct sites, in fractional coordinates, are Li at (0.000, 0.000, 0.500), Te at (0.000, 0.000, 0.000) and Cl at (0.500, 0.500, 0.500).

The density of states at the Fermi level is 0.0000 states/eV per atom.

Energetically preferred structure: *i* | next structure: +198 meV/atom